No. 1
An optimized crystal structure of Ni2MoRh, computed with GGA-PBEsol.

a = 2.6422 Å, b = 3.6283 Å, c = 5.1677 Å
α = 90.00°, β = 90.00°, γ = 90.00°
With the nearest neighbours (Å) after each atom.
Sites, in units of the cell vectors:
Mo (0.5000, 0.5000, 0.7613)  5 Ni 2.43-2.59, 4 Rh 2.63, 2 Mo 2.64
Rh (0.0000, 0.0000, 0.4954)  6 Ni 2.50-2.67, 4 Mo 2.63, 2 Rh 2.64
Ni (0.5000, 0.5000, 0.2318)  1 Mo 2.43, 6 Ni 2.52-2.64, 4 Rh 2.63
Ni (0.0000, 0.0000, 0.0116)  2 Rh 2.50-2.67, 6 Ni 2.52-2.64, 4 Mo 2.59

Summary:
The value obtained for the formation energy from the elements is -89 meV/atom. Its density of states at the Fermi level is 3.45 states/eV/cell. Its raw total energy is -8.144 eV/atom.

=====

No. 2
An optimized crystal structure of Fe2SbSe, computed with GGA-PBEsol.

a = 3.2484 Å, b = 3.4743 Å, c = 6.0224 Å
α = 89.99°, β = 90.00°, γ = 90.00°
With the nearest neighbours (Å) after each atom.
Sites, in units of the cell vectors:
Sb (0.5000, 0.0000, 0.5000)  8 Fe 2.69
Fe (0.0000, 0.5001, 0.2916)  2 Se 2.39, 1 Fe 2.51
Fe (0.0000, 0.4999, 0.7084)  2 Se 2.39, 1 Fe 2.51
Se (0.5000, 0.5000, 0.0000)  4 Fe 2.39

Summary:
Its density of states at the Fermi level is 4.44 states/eV/cell. The value obtained for the formation energy from raw total energies is 233 meV/atom. Its raw total energy is -6.350 eV/atom.

=====

No. 3
An optimized crystal structure of Re2SiCl, computed with GGA-PBEsol.

a = 4.3733 Å, b = 4.3733 Å, c = 4.3733 Å
α = 60.00°, β = 60.00°, γ = 60.00°
With the nearest neighbours (Å) after each atom.
Sites, in units of the cell vectors:
Re (0.7500, 0.7500, 0.7500)  4 Cl 2.68, 4 Re 2.68
Cl (0.5000, 0.5000, 0.5000)  4 Re 2.68, 4 Si 2.68
Si (0.2500, 0.2500, 0.2500)  4 Re 2.68, 4 Cl 2.68
Re (0.0000, 0.0000, 0.0000)  4 Re 2.68, 4 Si 2.68

Summary:
Its density of states at the Fermi level is 7.19 states/eV/cell. The value obtained for the formation energy from raw total energies is 992 meV/atom. Its raw total energy is -7.612 eV/atom.